(1)
Here is a geometry-optimized InBiSe2 structure from Alexandria via LeMat-Bulk. Energies are from PBE.

As for the formation energy (no corrections): -0.316 eV per atom. Its volume is 31.779 Å³/atom. The value obtained for the total energy is -3.71 eV/atom. The symmetry is C2/m (12).

a = 4.3136 Å, b = 6.4052 Å, c = 10.2634 Å
α = 106.73°, β = 90.00°, γ = 109.68°
Last column: nearest neighbours and their distance in Å.
Element x y z (fractional)
Se 0.3310 0.6621 0.8926  3 Bi 2.84-2.92
Bi 0.0999 0.1998 0.9072  5 Se 2.84-3.05
In 0.3332 0.6664 0.5008  2 Se 2.71-2.72, 2 In 2.94
Se 0.4515 0.9031 0.3133  2 In 2.71-2.72
Se 0.5485 0.0969 0.6867  2 In 2.71-2.72
In 0.6668 0.3336 0.4992  2 Se 2.71-2.72, 2 In 2.94
Bi 0.9001 0.8002 0.0928  5 Se 2.84-3.05
Se 0.6690 0.3379 0.1074  3 Bi 2.84-2.92



(2)
Here is a geometry-optimized Co3Sn structure from Alexandria via LeMat-Bulk. Energies are from PBE.

Its volume is 13.292 Å³/atom. The value obtained for the total energy is -6.14 eV/atom. The symmetry is P4/mmm (123).

a = 3.0814 Å, b = 3.0814 Å, c = 5.5994 Å
α = 90.00°, β = 90.00°, γ = 90.00°
Last column: nearest neighbours and their distance in Å.
Element x y z (fractional)
Sn 0.0000 0.0000 0.0000  10 Co 2.67-2.80
Co 0.5000 0.5000 0.7231  5 Co 2.50-2.51, 4 Sn 2.67
Co 0.0000 0.0000 0.5000  8 Co 2.51, 2 Sn 2.80
Co 0.5000 0.5000 0.2769  5 Co 2.50-2.51, 4 Sn 2.67



(3)
Here is a geometry-optimized CsGeS2Cl structure from Alexandria via LeMat-Bulk. Energies are from PBE.

As for the formation energy (no corrections): -0.579 eV per atom. Its volume is 26.286 Å³/atom. The calculation puts the polymorph energy (0 for the lowest one) at 0.0000 eV/atom. The value obtained for the total energy is -3.69 eV/atom. The symmetry is P4/mmm (123).

a = 4.8220 Å, b = 4.8220 Å, c = 5.6525 Å
α = 90.00°, β = 90.00°, γ = 90.00°
Last column: nearest neighbours and their distance in Å.
Element x y z (fractional)
Cs 0.5000 0.5000 0.5000  4 Cl 3.41, 8 S 3.71
S 0.0000 0.5000 0.0000  2 Ge 2.41
S 0.5000 0.0000 0.0000  2 Ge 2.41
Cl 0.0000 0.0000 0.5000  2 Ge 2.83
Ge 0.0000 0.0000 0.0000  4 S 2.41



(4)
Here is a geometry-optimized DyHo4Sc4 structure from Alexandria via LeMat-Bulk. Energies are from PBE.

Its volume is 27.997 Å³/atom. The value obtained for the total energy is -5.31 eV/atom. The symmetry is I4/mmm (139).

a = 4.8098 Å, b = 7.6270 Å, c = 7.6270 Å
α = 84.29°, β = 71.62°, γ = 71.62°
Last column: nearest neighbours and their distance in Å.
Element x y z (fractional)
Ho 0.3291 0.6710 0.6709  1 Dy 3.37, 6 Sc 3.38-3.41, 5 Ho 3.45-3.50
Dy 0.0000 0.0000 0.0000  4 Ho 3.37, 8 Sc 3.41
Ho 0.0000 0.6709 0.3290  1 Dy 3.37, 6 Sc 3.38-3.41, 5 Ho 3.45-3.50
Ho 0.6709 0.3290 0.3291  1 Dy 3.37, 6 Sc 3.38-3.41, 5 Ho 3.45-3.50
Sc 0.6667 0.0000 0.6666  6 Ho 3.38-3.41, 4 Sc 3.41, 2 Dy 3.41
Sc 0.6667 0.6666 0.0000  6 Ho 3.38-3.41, 4 Sc 3.41, 2 Dy 3.41
Sc 0.3333 0.3334 0.0000  6 Ho 3.38-3.41, 4 Sc 3.41, 2 Dy 3.41
Sc 0.3333 0.0000 0.3334  6 Ho 3.38-3.41, 4 Sc 3.41, 2 Dy 3.41
Ho 0.0000 0.3291 0.6710  1 Dy 3.37, 6 Sc 3.38-3.41, 5 Ho 3.45-3.50